The following is a GGA-PBE calculation of an optimized crystal structure of BeCoAg4, from Alexandria via LeMat-Bulk. Values from VASP.

Calculated values
Fermi-level density of states: 7.68 states/eV per cell
calculated density: 7.756 Mg/m³
energy of formation from the pure elements: 75 kJ per mole of atoms
volume: 17.82 Å³/atom

```
&SYSTEM
  ibrav = 0, nat = 6, ntyp = 3
/
ATOMIC_SPECIES
Be 9.01 Be.upf
Co 58.93 Co.upf
Ag 107.87 Ag.upf
CELL_PARAMETERS angstrom
0.000 3.767 3.767
3.767 0.000 3.767
3.767 3.767 0.000
ATOMIC_POSITIONS angstrom
Be 5.651 5.651 5.651
Co 0.000 0.000 0.000
Ag 2.826 4.709 4.709
Ag 4.709 4.709 2.826
Ag 4.709 2.826 4.709
Ag 2.826 2.826 2.826
```

---

The following is a GGA-PBE calculation of an optimized crystal structure of BeCoAg, from Alexandria via LeMat-Bulk. Values from VASP.

Calculated values
Fermi-level density of states: 2.07 states/eV per cell
calculated density: 7.807 Mg/m³
energy of formation from the pure elements: 26 kJ per mole of atoms
E above lowest polymorph: 0.36 eV/f.u.
volume: 12.46 Å³/atom

```
&SYSTEM
  ibrav = 0, nat = 3, ntyp = 3
/
ATOMIC_SPECIES
Be 9.01 Be.upf
Co 58.93 Co.upf
Ag 107.87 Ag.upf
CELL_PARAMETERS angstrom
2.680 0.000 0.000
-1.340 2.321 0.000
0.000 0.000 6.011
ATOMIC_POSITIONS angstrom
Be 0.000 1.547 2.156
Co 1.340 0.774 3.775
Ag 0.000 0.000 0.080
```

---

The following is a GGA-PBE calculation of an optimized crystal structure of BeCo2Ag2, from Alexandria via LeMat-Bulk. Values from VASP.

Calculated values
Fermi-level density of states: 7.03 states/eV per cell
calculated density: 8.338 Mg/m³
energy of formation from the pure elements: 36 kJ per mole of atoms
volume: 13.65 Å³/atom

```
&SYSTEM
  ibrav = 0, nat = 10, ntyp = 3
/
ATOMIC_SPECIES
Be 9.01 Be.upf
Co 58.93 Co.upf
Ag 107.87 Ag.upf
CELL_PARAMETERS angstrom
5.612 0.000 0.000
0.000 5.612 0.000
0.000 0.000 4.334
ATOMIC_POSITIONS angstrom
Be 0.000 0.000 0.000
Be 2.806 2.806 0.000
Co 2.032 4.838 0.000
Co 4.838 3.579 0.000
Co 3.579 0.774 0.000
Co 0.774 2.032 0.000
Ag 0.991 3.797 2.167
Ag 3.797 4.620 2.167
Ag 4.620 1.815 2.167
Ag 1.815 0.991 2.167
```

---

> Which value of calculated density does entry 2 give?

7.807 Mg/m³

---

What did the first record say?
The following is a GGA-PBE calculation of an optimized crystal structure of BeCoAg4, from Alexandria via LeMat-Bulk. Values from VASP.

Calculated values
Fermi-level density of states: 7.68 states/eV per cell
calculated density: 7.756 Mg/m³
energy of formation from the pure elements: 75 kJ per mole of atoms
volume: 17.82 Å³/atom

```
&SYSTEM
  ibrav = 0, nat = 6, ntyp = 3
/
ATOMIC_SPECIES
Be 9.01 Be.upf
Co 58.93 Co.upf
Ag 107.87 Ag.upf
CELL_PARAMETERS angstrom
0.000 3.767 3.767
3.767 0.000 3.767
3.767 3.767 0.000
ATOMIC_POSITIONS angstrom
Be 5.651 5.651 5.651
Co 0.000 0.000 0.000
Ag 2.826 4.709 4.709
Ag 4.709 4.709 2.826
Ag 4.709 2.826 4.709
Ag 2.826 2.826 2.826
```

---

Please write out number 2 again, unchanged.
The following is a GGA-PBE calculation of an optimized crystal structure of BeCoAg, from Alexandria via LeMat-Bulk. Values from VASP.

Calculated values
Fermi-level density of states: 2.07 states/eV per cell
calculated density: 7.807 Mg/m³
energy of formation from the pure elements: 26 kJ per mole of atoms
E above lowest polymorph: 0.36 eV/f.u.
volume: 12.46 Å³/atom

```
&SYSTEM
  ibrav = 0, nat = 3, ntyp = 3
/
ATOMIC_SPECIES
Be 9.01 Be.upf
Co 58.93 Co.upf
Ag 107.87 Ag.upf
CELL_PARAMETERS angstrom
2.680 0.000 0.000
-1.340 2.321 0.000
0.000 0.000 6.011
ATOMIC_POSITIONS angstrom
Be 0.000 1.547 2.156
Co 1.340 0.774 3.775
Ag 0.000 0.000 0.080
```

---

> What is the formula in the first record?

BeCoAg4